Sr4CrRh (PBE-GGA, optimized geometry); density of states at the Fermi level = 6.8 states/eV/f.u.; energy of formation from the pure elements = 24.5 kcal/mol of atoms; total energy = -2.89 eV/atom
1.0
0.000 4.748 4.748
4.748 0.000 4.748
4.748 4.748 0.000
Sr Cr Rh
4 1 1
Cartesian
3.568 3.568 3.568 Sr
5.928 5.928 3.568 Sr
5.928 3.568 5.928 Sr
3.568 5.928 5.928 Sr
0.000 0.000 0.000 Cr
7.122 7.122 7.122 Rh